(1)
SrTcMo2H: optimized geometry, PBEsol.

It has space group P4/mmm (No. 123), with a = 4.7360 Å, b = 4.7360 Å, c = 4.6826 Å, α = 90.00°, β = 90.00° and γ = 90.00°. The asymmetric unit holds Sr at (0.0000, 0.0000, 0.0000), Tc at (0.0000, 0.0000, 0.5000), Mo at (0.0000, 0.5000, 0.0000) and H at (0.5000, 0.5000, 0.5000).

For the total magnetization, the calculation gives 0.15 μB per formula unit. As for the raw total energy: -4.19 eV per atom. For the density of states at the Fermi level, the calculation gives 6.8 states/eV/f.u.

(2)
TiRh3I: optimized geometry, PBEsol.

It has space group Pm-3m (No. 221), with a = 4.7208 Å, b = 4.7208 Å, c = 4.7208 Å, α = 90.00°, β = 90.00° and γ = 90.00°. The asymmetric unit holds Ti at (0.0000, 0.0000, 0.0000), Rh at (0.0000, 0.5000, 0.5000) and I at (0.5000, 0.5000, 0.5000).

For the total magnetization, the calculation gives 1.52 μB per formula unit. The calculation puts the raw formation energy at 1.189 eV/atom. As for the raw total energy: -5.71 eV per atom. For the density of states at the Fermi level, the calculation gives 9.2 states/eV/f.u.

(3)
HoCrO4: optimized geometry, PBEsol.

It has space group I4_1/amd (No. 141, origin choice 2), with a = 7.0546 Å, b = 7.0546 Å, c = 6.1721 Å, α = 90.00°, β = 90.00° and γ = 90.00°. The asymmetric unit holds Ho at (0.0000, 0.2500, 0.3750), Cr at (0.0000, 0.2500, 0.8750) and O at (0.0000, 0.0659, 0.6989).

For the total magnetization, the calculation gives 1.00 μB per formula unit. The calculation puts the raw formation energy at -2.648 eV/atom. As for the raw total energy: -8.68 eV per atom. For the density of states at the Fermi level, the calculation gives 4.1 states/eV/f.u.

(4)
BaCr2CoAu: optimized geometry, PBEsol.

It has space group P4/mmm (No. 123), with a = 4.9982 Å, b = 4.9982 Å, c = 4.5925 Å, α = 90.00°, β = 90.00° and γ = 90.00°. The asymmetric unit holds Ba at (0.0000, 0.0000, 0.0000), Cr at (0.0000, 0.5000, 0.0000), Co at (0.0000, 0.0000, 0.5000) and Au at (0.5000, 0.5000, 0.5000).

For the total magnetization, the calculation gives 8.54 μB per formula unit. Its formation energy is 2402.7 meV/atom. As for the raw total energy: -4.46 eV per atom. For the density of states at the Fermi level, the calculation gives 4.7 states/eV/f.u.

(5)
LiHf2Zr: optimized geometry, PBEsol.

It has space group I-42d (No. 122), with a = 4.0531 Å, b = 4.0531 Å, c = 20.1892 Å, α = 90.00°, β = 90.00° and γ = 90.00°. The asymmetric unit holds Li at (0.0000, 0.0000, 0.0000), Hf at (0.2505, 0.2500, 0.1250) and Zr at (0.0000, 0.0000, 0.5000).

For the total magnetization, the calculation gives 0.00 μB per formula unit. Its formation energy is 607.6 meV/atom. As for the raw total energy: -7.41 eV per atom. For the density of states at the Fermi level, the calculation gives 4.9 states/eV/f.u.

(6)
Zr2CuHg: optimized geometry, PBEsol.

It has space group F-43m (No. 216), with a = 6.7341 Å, b = 6.7341 Å, c = 6.7341 Å, α = 90.00°, β = 90.00° and γ = 90.00°. The asymmetric unit holds Zr at (0.0000, 0.0000, 0.0000), Zr at (0.2500, 0.2500, 0.2500), Cu at (0.2500, 0.2500, 0.7500) and Hg at (0.0000, 0.0000, 0.5000).

For the total magnetization, the calculation gives 2.99 μB per formula unit. Its formation energy is 201.4 meV/atom. As for the raw total energy: -5.57 eV per atom. For the density of states at the Fermi level, the calculation gives 2.2 states/eV/f.u.

(7)
Zn3Co4: optimized geometry, PBEsol.

It has space group I4/mmm (No. 139), with a = 2.5942 Å, b = 2.5942 Å, c = 23.8583 Å, α = 90.00°, β = 90.00° and γ = 90.00°. The asymmetric unit holds Zn at (0.0000, 0.0000, 0.0000), Zn at (0.0000, 0.0000, 0.2925), Co at (0.0000, 0.0000, 0.1350) and Co at (0.0000, 0.0000, 0.4270).

For the total magnetization, the calculation gives 5.09 μB per formula unit. Its formation energy is -31.7 meV/atom. As for the raw total energy: -5.13 eV per atom. For the density of states at the Fermi level, the calculation gives 4.5 states/eV/f.u.

(8)
K2FeMo: optimized geometry, PBEsol.

It has space group I4/mmm (No. 139), with a = 3.6849 Å, b = 3.6849 Å, c = 11.6606 Å, α = 90.00°, β = 90.00° and γ = 90.00°. The asymmetric unit holds K at (0.0000, 0.5000, 0.2500), Fe at (0.0000, 0.0000, 0.0000) and Mo at (0.0000, 0.0000, 0.5000).

The polymorph energy (0 for the lowest one) is 722 meV per atom. For the total magnetization, the calculation gives 0.78 μB per formula unit. Its formation energy is 1612.5 meV/atom. As for the raw total energy: -4.14 eV per atom. For the density of states at the Fermi level, the calculation gives 5.0 states/eV/f.u.